29
Lattice="-6.5186 7.1260 1.8472 -4.0912 -6.8153 -5.7877 2.7985 -4.1413 8.4518" Properties=species:S:1:pos:R:3 comment="ZnCd12In16, relaxed, DFT GGA-PBE" total_energy_ev_per_atom=-1.909 ef_kj_per_mol_atoms=2 pbc="T T T"
In -5.5815 -6.2061 3.8743
In -0.0128 -0.0357 0.0610
In -5.4876 -1.7477 -3.1405
In -2.8344 -1.2923 1.4585
In 1.8505 -2.7727 5.6512
In -4.8064 -6.7592 0.7837
In -7.4370 -3.5980 -1.0290
In -6.2444 1.4997 5.3067
In -8.1874 0.7119 1.3314
In -6.3963 -1.5264 6.4371
In -4.0977 -3.9522 -0.9908
In -6.1452 2.0292 -1.0720
In -1.3007 -2.8642 4.8165
In -2.6002 -4.4639 2.1142
In -3.3472 -0.1739 4.4636
In -5.0876 1.7330 2.1227
Zn -5.4785 -0.9697 0.0289
Cd -3.7468 1.1159 7.2812
Cd -5.6429 -3.5930 1.6302
Cd -2.7804 -1.2079 -1.8126
Cd -6.2324 4.3059 3.9000
Cd -2.2401 -7.5379 2.5420
Cd -7.9656 -0.5706 -1.4906
Cd -6.0925 -1.0105 3.0445
Cd -7.5339 3.7563 1.2656
Cd -4.2620 -7.0108 -2.2976
Cd -3.2298 1.3727 -0.3993
Cd -6.0257 -4.9056 -3.4781
Cd -4.4295 -3.1932 4.4225



11
Lattice="2.7344 0.0000 0.0000 0.0000 6.3293 0.2750 0.0000 -0.2487 7.3074" Properties=species:S:1:pos:R:3 comment="Fe5Re4B2, relaxed, DFT GGA-PBE" total_energy_ev_per_atom=-9.509 ef_kj_per_mol_atoms=8 pbc="T T T"
Fe 0.0000 4.9222 6.3187
Fe 0.0000 2.7865 5.1037
Fe 0.0000 3.1647 0.1375
Fe 0.0000 3.2942 2.4787
Fe 0.0000 1.1585 1.2637
Re 1.3672 0.8455 6.3668
Re 1.3672 5.2351 1.2156
Re 1.3672 1.3368 3.5157
Re 1.3672 4.7439 4.0667
B 0.0000 0.0777 4.6902
B 0.0000 6.0030 2.8922



14
Lattice="4.2450 0.0000 -1.0121 0.0000 7.2856 0.0000 0.1227 0.0000 9.9235" Properties=species:S:1:pos:R:3 comment="Li2Nd2Ga3, relaxed, DFT GGA-PBE" total_energy_ev_per_atom=-3.640 ef_kj_per_mol_atoms=-42 pbc="T T T"
Ga 1.9820 4.1783 8.3133
Ga 1.0095 5.4642 4.2343
Ga 2.3858 3.1073 0.5981
Ga 2.3858 0.5355 0.5981
Ga 1.9820 6.7501 8.3133
Ga 3.3582 1.8214 4.6771
Nd 0.2514 5.4642 1.0546
Nd 3.6690 5.4642 5.9807
Nd 0.6987 1.8214 2.9308
Nd 4.1163 1.8214 7.8569
Li 1.3992 3.2126 5.8687
Li 1.3992 0.4302 5.8687
Li 2.9686 4.0730 3.0427
Li 2.9686 6.8554 3.0427



8
Lattice="6.8133 0.0000 0.0000 0.0000 6.8133 0.0000 3.4067 3.4067 6.5029" Properties=species:S:1:pos:R:3 comment="ZnBiPb2, relaxed, DFT GGA-PBE" relative_energy_kj_per_mol_atoms=10.5 total_energy_ev_per_atom=-2.911 ef_kj_per_mol_atoms=22 pbc="T T T"
Zn 3.4067 6.8133 3.2515
Zn 3.4067 3.4067 0.0000
Pb 5.1100 5.3704 4.8772
Pb 1.9637 5.1100 1.6257
Pb 4.8496 1.7033 1.6257
Pb 8.5167 8.2563 4.8772
Bi 6.8133 3.4067 3.2515
Bi 0.0000 0.0000 0.0000



4
Lattice="5.1554 0.0000 0.0000 2.5777 4.4647 0.0000 2.5777 1.4882 4.2093" Properties=species:S:1:pos:R:3 comment="LaLuZnGa, relaxed, DFT GGA-PBE" total_energy_ev_per_atom=-3.884 ef_kj_per_mol_atoms=-43 pbc="T T T"
La 5.1554 2.9764 2.1047
Lu 0.0000 0.0000 0.0000
Zn 7.7330 4.4647 3.1570
Ga 2.5777 1.4882 1.0523



7
Lattice="-0.6790 4.4064 3.0215 -0.5326 -0.4525 5.3402 7.9529 1.9949 3.6780" Properties=species:S:1:pos:R:3 comment="Ho4ScCd2, relaxed, DFT GGA-PBE" total_energy_ev_per_atom=-3.665 ef_kj_per_mol_atoms=11 pbc="T T T"
Cd 6.2506 3.2077 6.3269
Cd 0.4907 2.7411 5.7129
Ho 5.3980 4.4893 9.0662
Ho 4.6773 1.7296 3.3289
Ho 1.3433 1.4595 2.9735
Ho 2.0640 4.2192 8.7109
Sc 3.3707 2.9744 6.0199



10
Lattice="-7.5371 3.0580 -5.6071 -5.5410 -6.5875 -4.8476 -6.7189 -1.4258 -0.4492" Properties=species:S:1:pos:R:3 comment="LaPm3Tm6, relaxed, DFT GGA-PBE" relative_energy_kj_per_mol_atoms=15.9 total_energy_ev_per_atom=-4.292 ef_kj_per_mol_atoms=30 pbc="T T T"
La -13.7860 -3.6043 -9.5439
Tm -12.4158 -4.7040 -6.1259
Tm -8.1435 -3.5516 -2.7106
Tm -11.9526 -1.4257 -7.9402
Tm -8.7419 -5.6501 -5.7916
Tm -7.5851 -0.2076 -4.4456
Tm -11.2573 0.5987 -4.7901
Pm -10.6071 -2.5525 -4.5402
Pm -8.8450 -2.3663 -6.8073
Pm -5.6504 -1.3129 -1.8239



9
Lattice="3.6368 0.0000 0.8227 1.7111 4.8007 0.8857 -0.4867 -1.5560 10.6010" Properties=species:S:1:pos:R:3 comment="Bi3Pd2Au4, relaxed, DFT GGA-PBE" total_energy_ev_per_atom=-3.970 ef_kj_per_mol_atoms=-6 pbc="T T T"
Au 1.5148 2.0210 1.7535
Au 3.3464 1.2237 10.5559
Au 0.5134 0.1695 6.1800
Au 4.3478 3.0751 6.1294
Bi 0.0000 0.0000 0.0000
Bi 2.8554 1.1008 4.2771
Bi 2.0059 2.1439 8.0323
Pd 3.0282 3.9510 3.5130
Pd 1.8330 -0.7064 8.7964



Asked for DOS at the Fermi energy across the records above, the calculation gives 0.18; 0.83; 1.12; 0.42; 0.84; 1.44; 2.13; 0.42 states/eV per atom in order.